The following is a PBE calculation of a relaxed structure of KYOs2, from the Alexandria database. Values from VASP.

Quantum ESPRESSO input file:
```
&SYSTEM
  ibrav = 0, nat = 4, ntyp = 3
/
ATOMIC_SPECIES
K 39.10 K.upf
Y 88.91 Y.upf
Os 190.23 Os.upf
CELL_PARAMETERS angstrom
2.850 -5.030 0.000
2.850 5.030 0.000
-1.006 0.000 2.649
ATOMIC_POSITIONS angstrom
K 0.000 0.000 0.000
Y 2.850 0.000 0.000
Os 0.922 2.515 1.325
Os 0.922 -2.515 1.325
```

Calculated values
* calculated density: 11.12 g/cm³
* total magnetic moment: 0.0 μB per formula unit
* polymorph energy (0 for the lowest one): 814 meV per atom
* ΔH_f (0 K): 1.16 eV/atom
* crystal system: monoclinic
* calculated volume: 18.99 Å³/atom

=====

The following is a PBE calculation of a relaxed structure of KYOs2, from the Alexandria database. Values from VASP.

Quantum ESPRESSO input file:
```
&SYSTEM
  ibrav = 0, nat = 4, ntyp = 3
/
ATOMIC_SPECIES
K 39.10 K.upf
Y 88.91 Y.upf
Os 190.23 Os.upf
CELL_PARAMETERS angstrom
2.642 -4.739 0.000
2.642 4.739 0.000
0.000 0.000 3.180
ATOMIC_POSITIONS angstrom
K 0.000 0.000 0.000
Y 2.642 0.000 0.000
Os 1.321 2.369 1.590
Os 1.321 -2.369 1.590
```

Calculated values
* calculated density: 10.60 g/cm³
* total magnetic moment: 0.0 μB per formula unit
* polymorph energy (0 for the lowest one): 786 meV per atom
* ΔH_f (0 K): 1.13 eV/atom
* crystal system: orthorhombic
* calculated volume: 19.91 Å³/atom

=====

The following is a PBE calculation of a relaxed structure of KYOs, from the Alexandria database. Values from VASP.

Quantum ESPRESSO input file:
```
&SYSTEM
  ibrav = 0, nat = 3, ntyp = 3
/
ATOMIC_SPECIES
K 39.10 K.upf
Y 88.91 Y.upf
Os 190.23 Os.upf
CELL_PARAMETERS angstrom
0.000 3.468 3.468
3.468 0.000 3.468
3.468 3.468 0.000
ATOMIC_POSITIONS angstrom
K 0.000 0.000 0.000
Y 3.468 3.468 3.468
Os 1.734 1.734 1.734
```

Calculated values
* calculated density: 6.34 g/cm³
* total magnetic moment: 0.0 μB per formula unit
* polymorph energy (0 for the lowest one): 451 meV per atom
* ΔH_f (0 K): 1.05 eV/atom
* crystal system: cubic
* calculated volume: 27.80 Å³/atom

=====

The following is a PBE calculation of a relaxed structure of K3YOs, from the Alexandria database. Values from VASP.

Quantum ESPRESSO input file:
```
&SYSTEM
  ibrav = 0, nat = 5, ntyp = 3
/
ATOMIC_SPECIES
K 39.10 K.upf
Y 88.91 Y.upf
Os 190.23 Os.upf
CELL_PARAMETERS angstrom
6.101 0.000 0.000
0.000 6.101 0.000
0.000 0.000 6.101
ATOMIC_POSITIONS angstrom
K 0.000 0.000 3.050
K 0.000 3.050 0.000
K 3.050 0.000 0.000
Y 3.050 3.050 3.050
Os 0.000 0.000 0.000
```

Calculated values
* calculated density: 2.90 g/cm³
* total magnetic moment: 0.0 μB per formula unit
* polymorph energy (0 for the lowest one): 0 meV per atom
* ΔH_f (0 K): 1.68 eV/atom
* crystal system: cubic
* calculated volume: 45.41 Å³/atom

=====

The following is a PBE calculation of a relaxed structure of KYOs, from the Alexandria database. Values from VASP.

Quantum ESPRESSO input file:
```
&SYSTEM
  ibrav = 0, nat = 3, ntyp = 3
/
ATOMIC_SPECIES
K 39.10 K.upf
Y 88.91 Y.upf
Os 190.23 Os.upf
CELL_PARAMETERS angstrom
-1.721 1.721 7.764
1.721 -1.721 7.764
1.721 1.721 -7.764
ATOMIC_POSITIONS angstrom
K 0.000 0.000 0.000
Y 0.000 0.000 3.801
Os 0.000 0.000 10.155
```

Calculated values
* calculated density: 5.74 g/cm³
* total magnetic moment: 0.0 μB per formula unit
* polymorph energy (0 for the lowest one): 0 meV per atom
* ΔH_f (0 K): 0.60 eV/atom
* crystal system: tetragonal
* calculated volume: 30.67 Å³/atom

=====

The following is a PBE calculation of a relaxed structure of KYOs2, from the Alexandria database. Values from VASP.

Quantum ESPRESSO input file:
```
&SYSTEM
  ibrav = 0, nat = 4, ntyp = 3
/
ATOMIC_SPECIES
K 39.10 K.upf
Y 88.91 Y.upf
Os 190.23 Os.upf
CELL_PARAMETERS angstrom
-2.017 2.017 4.795
2.017 -2.017 4.795
2.017 2.017 -4.795
ATOMIC_POSITIONS angstrom
K 0.000 0.000 0.000
Y 0.000 0.000 4.795
Os 2.017 0.000 2.397
Os 0.000 2.017 2.397
```

Calculated values
* calculated density: 10.82 g/cm³
* total magnetic moment: 0.3 μB per formula unit
* polymorph energy (0 for the lowest one): 857 meV per atom
* ΔH_f (0 K): 1.20 eV/atom
* crystal system: tetragonal
* calculated volume: 19.51 Å³/atom